No. 1
A plane-wave DFT calculation with GGA-PBE was carried out for Tm8Al2Re after structural relaxation.

a b c (Å): 5.171 6.898 8.946
angles (deg): 110.63 106.80 90.00
Atoms (fractional coordinates):
1 Tm 0.401 0.577 0.801
2 Tm 0.653 0.938 0.306
3 Tm 0.804 0.728 0.607
4 Tm 0.984 0.216 0.969
5 Tm 0.196 0.272 0.393
6 Tm 0.347 0.062 0.694
7 Tm 0.599 0.423 0.199
8 Tm 0.016 0.784 0.031
9 Al 0.820 0.311 0.639
10 Al 0.180 0.689 0.361
11 Re 0.500 0.000 0.000

Results
calculated formation energy = -0.1427 eV per atom
density = 9.30 g cm⁻³
calculated total energy = -0.191 Ha/atom
N(E_F) = 9.19 states/eV per cell

=====

No. 2
A plane-wave DFT calculation with GGA-PBE was carried out for TmAlRe after structural relaxation.

a b c (Å): 5.345 5.388 5.388
angles (deg): 61.09 60.26 60.26
Atoms (fractional coordinates):
1 Tm 0.883 0.367 0.367
2 Tm 0.117 0.633 0.633
3 Al 0.500 0.500 0.000
4 Al 0.500 0.000 0.500
5 Re 0.000 0.000 0.000
6 Re 0.500 0.000 0.000

Results
calculated formation energy = -0.3989 eV per atom
density = 11.43 g cm⁻³
calculated total energy = -0.268 Ha/atom
N(E_F) = 4.13 states/eV per cell

=====

No. 3
A plane-wave DFT calculation with GGA-PBE was carried out for TmAlRe after structural relaxation.

a b c (Å): 4.357 6.361 8.261
angles (deg): 90.00 90.00 90.00
Atoms (fractional coordinates):
1 Re 0.750 0.890 0.013
2 Re 0.250 0.610 0.513
3 Re 0.250 0.110 0.987
4 Re 0.750 0.390 0.487
5 Al 0.750 0.245 0.173
6 Al 0.250 0.255 0.673
7 Al 0.250 0.755 0.827
8 Al 0.750 0.745 0.327
9 Tm 0.750 0.439 0.850
10 Tm 0.250 0.061 0.350
11 Tm 0.250 0.561 0.150
12 Tm 0.750 0.939 0.650

Results
calculated formation energy = -0.2591 eV per atom
density = 11.09 g cm⁻³
calculated total energy = -0.263 Ha/atom
N(E_F) = 4.38 states/eV per cell